[1]
## TlP2PbBrO (PBE)

Data for TlP2PbBrO after structural relaxation.

Lattice parameters (Å, degrees): 18.4966 3.5886 4.8398 90.00 105.01 90.00
Fractional coordinates of all 12 atoms:
1 Tl 0.0000 0.0000 0.0000
2 Tl 0.5000 0.5000 0.0000
3 P 0.3680 0.0000 0.1387
4 P 0.3811 0.5000 0.4459
5 P 0.8680 0.5000 0.1387
6 P 0.8811 0.0000 0.4459
7 Pb 0.2170 0.0000 0.2888
8 Pb 0.7170 0.5000 0.2888
9 Br 0.1405 0.5000 0.7394
10 Br 0.6405 0.0000 0.7394
11 O 0.2996 0.5000 0.5121
12 O 0.7996 0.0000 0.5121

Output
Raw formation energy   -0.5706 eV/atom
Symmetry   Cm (8)

[2]
## TlP2PbBrO (PBE)

Data for TlP2PbBrO after structural relaxation.

Lattice parameters (Å, degrees): 18.4303 3.5782 4.9053 90.00 100.55 90.00
Fractional coordinates of all 12 atoms:
1 Tl 0.0000 0.0000 0.0000
2 Tl 0.5000 0.5000 0.0000
3 P 0.3615 0.0000 0.1881
4 P 0.3661 0.5000 0.4993
5 P 0.8615 0.5000 0.1881
6 P 0.8661 0.0000 0.4993
7 Pb 0.2339 0.0000 0.5506
8 Pb 0.7339 0.5000 0.5506
9 Br 0.0956 0.5000 0.6059
10 Br 0.5956 0.0000 0.6059
11 O 0.2781 0.0000 0.0265
12 O 0.7781 0.5000 0.0265

Output
Raw formation energy   -0.5668 eV/atom
Symmetry   Cm (8)
N(E_F)   0.031 states/eV per atom

[3]
## TlP2PbBrO (PBE)

Data for TlP2PbBrO after structural relaxation.

Lattice parameters (Å, degrees): 11.6837 3.5747 9.2461 90.00 122.63 90.00
Fractional coordinates of all 12 atoms:
1 Tl 0.0000 0.0000 0.0000
2 Tl 0.5000 0.5000 0.0000
3 P 0.2095 0.0000 0.4522
4 P 0.2310 0.5000 0.6246
5 P 0.7095 0.5000 0.4522
6 P 0.7310 0.0000 0.6246
7 Pb 0.4308 0.5000 0.4189
8 Pb 0.9308 0.0000 0.4189
9 Br 0.3269 0.0000 0.0888
10 Br 0.8269 0.5000 0.0888
11 O 0.0861 0.5000 0.6083
12 O 0.5861 0.0000 0.6083

Output
Raw formation energy   -0.5798 eV/atom
Symmetry   Cm (8)
N(E_F)   0.008 states/eV per atom

[4]
## TlP2PbBrO (PBE)

Data for TlP2PbBrO after structural relaxation.

Lattice parameters (Å, degrees): 4.3085 4.8590 8.6673 102.92 90.31 99.24
Fractional coordinates of all 6 atoms:
1 Tl 0.0000 0.0000 0.0000
2 P 0.4861 0.0039 0.7206
3 P 0.7215 0.4152 0.7248
4 Pb 0.9532 0.8674 0.4724
5 Br 0.4357 0.6270 0.2050
6 O 0.8719 0.4205 0.5594

Output
Raw formation energy   -0.5518 eV/atom
Symmetry   P1 (1)

Record-wise excess energy over the best structure of this formula in the dataset values, in kJ/mol of formula units: 15.6; 17.8; 10.3; 26.5